Record 1
DFT (PBE-GGA) results for a geometry-optimized SiSnIr3 structure.

Properties
E_form (uncorrected), meV per atom: 538
ΔE to the lowest computed polymorph, meV/atom: 0

```
data_SiSnIr3
_cell_length_a 4.495
_cell_length_b 4.495
_cell_length_c 4.495
_cell_angle_alpha 90.00
_cell_angle_beta 90.00
_cell_angle_gamma 90.00
_symmetry_space_group_name_H-M 'P m -3 m'
_symmetry_Int_Tables_number 221
_symmetry_space_group_name_Hall '-P 4 2 3'
loop_
_atom_site_label
_atom_site_type_symbol
_atom_site_fract_x
_atom_site_fract_y
_atom_site_fract_z
Si1 Si 0.000 0.000 0.000
Sn1 Sn 0.500 0.500 0.500
Ir1 Ir 0.000 0.000 0.500
```

Record 2
DFT (PBE-GGA) results for a geometry-optimized MgSc2H8 structure.

Properties
E_tot, eV/cell: -90.0

```
data_MgSc2H8
_cell_length_a 3.375
_cell_length_b 5.922
_cell_length_c 9.327
_cell_angle_alpha 90.00
_cell_angle_beta 90.00
_cell_angle_gamma 90.00
_symmetry_space_group_name_H-M 'I m m m'
_symmetry_Int_Tables_number 71
_symmetry_space_group_name_Hall '-I 2 2'
loop_
_atom_site_label
_atom_site_type_symbol
_atom_site_fract_x
_atom_site_fract_y
_atom_site_fract_z
Mg1 Mg 0.000 0.000 0.000
Sc1 Sc 0.000 0.500 0.190
H1 H 0.000 0.170 0.257
H2 H 0.000 0.321 0.000
H3 H 0.000 0.500 0.392
```

Record 3
DFT (PBE-GGA) results for a geometry-optimized RbMgNb structure.

Properties
ΔE to the lowest computed polymorph, meV/atom: 56

```
data_RbMgNb
_cell_length_a 7.949
_cell_length_b 4.593
_cell_length_c 13.021
_cell_angle_alpha 90.00
_cell_angle_beta 101.74
_cell_angle_gamma 90.00
_symmetry_space_group_name_H-M 'C 1 2 1'
_symmetry_Int_Tables_number 5
loop_
_symmetry_equiv_pos_as_xyz
'x,y,z'
'-x,y,-z'
'x+1/2,y+1/2,z'
'-x+1/2,y+1/2,-z'
loop_
_atom_site_label
_atom_site_type_symbol
_atom_site_fract_x
_atom_site_fract_y
_atom_site_fract_z
Rb1 Rb 0.225 0.000 0.172
Mg1 Mg 0.038 0.003 0.613
Nb1 Nb 0.166 0.503 0.500
```